Entry 1:
{
  "formula": "LaNi2Rh",
  "functional": "meta-GGA SCAN",
  "state": "PBEsol geometry",
  "lattice": [[2.9926, 0.0000, 0.0000], [0.0000, 3.6197, 0.0000], [0.0000, 0.0000, 5.7885]],
  "species": ["La", "Ni", "Ni", "Rh"],
  "fractional_positions": [[0.0000, 0.0000, 0.0000], [0.5000, 0.5000, 0.3004], [0.5000, 0.5000, 0.6996], [0.0000, 0.0000, 0.5000]],
  "n_ef_per_ev_atom": 1.1179,
  "spacegroup": "Pmmm",
  "m_tot_mub_per_fu": 0.00
}

=====

Entry 2:
{
  "formula": "La2Ni2Rh",
  "functional": "meta-GGA SCAN",
  "state": "PBEsol geometry",
  "lattice": [[-1.7304, 1.7304, 8.1024], [1.7304, -1.7304, 8.1024], [1.7304, 1.7304, -8.1024]],
  "species": ["La", "La", "Ni", "Ni", "Rh"],
  "fractional_positions": [[0.1090, 0.1090, 0.0000], [0.8910, 0.8910, 0.0000], [0.2500, 0.7500, 0.5000], [0.7500, 0.2500, 0.5000], [0.5000, 0.5000, 0.0000]],
  "n_ef_per_ev_atom": 0.6079,
  "spacegroup": "I4/mmm",
  "m_tot_mub_per_fu": 0.00
}

=====

Entry 3:
{
  "formula": "La2NiRu",
  "functional": "meta-GGA SCAN",
  "state": "PBEsol geometry",
  "lattice": [[3.4526, 0.0000, 0.0000], [0.0000, 3.4527, 0.0000], [-0.0238, 0.0000, 7.1175]],
  "species": ["La", "La", "Ni", "Ru"],
  "fractional_positions": [[0.0005, 0.0000, 0.2504], [0.9995, 0.0000, 0.7496], [0.5000, 0.5000, 0.0000], [0.5000, 0.5000, 0.5000]],
  "n_ef_per_ev_atom": 0.3258,
  "spacegroup": "P2/m",
  "m_tot_mub_per_fu": 0.00
}

=====

Entry 4:
{
  "formula": "LaNiRu",
  "functional": "meta-GGA SCAN",
  "state": "PBEsol geometry",
  "lattice": [[-2.5305, 2.6178, 3.8420], [2.5305, -2.6178, 3.8420], [2.5305, 2.6178, -3.8420]],
  "species": ["La", "La", "Ni", "Ni", "Ru", "Ru"],
  "fractional_positions": [[0.3722, 0.1222, 0.2500], [0.6278, 0.8778, 0.7500], [0.0000, 0.5000, 0.5000], [0.5000, 0.5000, 0.0000], [0.0000, 0.0000, 0.5000], [0.0000, 0.5000, 0.0000]],
  "n_ef_per_ev_atom": 0.7207,
  "spacegroup": "Imma",
  "m_tot_mub_per_fu": 0.00
}

=====

Entry 5:
{
  "formula": "La3NiRu",
  "functional": "meta-GGA SCAN",
  "state": "PBEsol geometry",
  "lattice": [[5.1329, 0.0000, 0.0000], [0.0000, 5.1329, 0.0000], [0.0000, 0.0000, 5.1329]],
  "species": ["La", "La", "La", "Ni", "Ru"],
  "fractional_positions": [[0.0000, 0.0000, 0.5000], [0.0000, 0.5000, 0.0000], [0.5000, 0.0000, 0.0000], [0.0000, 0.0000, 0.0000], [0.5000, 0.5000, 0.5000]],
  "n_ef_per_ev_atom": 0.5958,
  "spacegroup": "Pm-3m",
  "m_tot_mub_per_fu": 0.00
}

=====

Entry 6:
{
  "formula": "La2NiRu",
  "functional": "meta-GGA SCAN",
  "state": "PBEsol geometry",
  "lattice": [[4.0220, 0.0000, 0.0000], [0.0000, 1.9579, 5.5555], [0.0000, -1.9579, 5.5555]],
  "species": ["La", "La", "Ni", "Ru"],
  "fractional_positions": [[0.0000, 0.0000, 0.0000], [0.5000, 0.2783, 0.2783], [0.0000, 0.7114, 0.7114], [0.5000, 0.5612, 0.5612]],
  "n_ef_per_ev_atom": 0.5067,
  "spacegroup": "Amm2",
  "m_tot_mub_per_fu": 0.00
}

=====

| no. | energy of formation from the pure elements (meV/atom) | E (eV/cell) |
| --- | --- | --- |
| 1 | 53.1 | -109.011 |
| 2 | -265.8 | -153.657 |
| 3 | -189.3 | -137.967 |
| 4 | -265.9 | -189.804 |
| 5 | 342.0 | -178.605 |
| 6 | -251.8 | -138.217 |